Record 1
Computed, not measured: a geometry-optimized H2SeF structure at the PBE level of DFT. Values from VASP.

Calculated values
Space-group type = R-3m (166)
Energy above the lowest structure with this stoichiometry = 0.000 eV per atom

The structure in Quantum ESPRESSO input format:
```
&SYSTEM
  ibrav = 0, nat = 4, ntyp = 3
/
ATOMIC_SPECIES
H 1.01 H.upf
Se 78.96 Se.upf
F 19.00 F.upf
CELL_PARAMETERS angstrom
-0.127 2.968 0.865
-2.683 1.536 -0.129
-2.007 0.039 5.105
ATOMIC_POSITIONS angstrom
H -1.775 0.356 4.051
H -3.042 4.186 1.790
Se -2.409 2.271 2.920
F 0.000 0.000 0.000
```

Record 2
Computed, not measured: a geometry-optimized Pu2SbPd6 structure at the PBE level of DFT. Values from VASP.

Calculated values
Space-group type = P-3m1 (164)
Energy above the lowest structure with this stoichiometry = 0.000 eV per atom
ΔE_f (raw) = -48.4 kJ/mol of atoms

The structure in Quantum ESPRESSO input format:
```
&SYSTEM
  ibrav = 0, nat = 9, ntyp = 3
/
ATOMIC_SPECIES
Pu 244.00 Pu.upf
Sb 121.76 Sb.upf
Pd 106.42 Pd.upf
CELL_PARAMETERS angstrom
6.046 -0.031 -0.018
0.025 5.776 0.006
0.025 2.882 5.005
ATOMIC_POSITIONS angstrom
Pu 5.037 5.746 3.326
Pu 1.059 2.881 1.667
Sb 0.000 0.000 0.000
Pd 1.974 4.400 4.120
Pd 1.983 7.123 4.122
Pd 1.974 5.764 1.763
Pd 4.122 4.227 0.873
Pd 4.113 1.504 0.870
Pd 4.122 2.863 3.230
```

Record 3
Computed, not measured: a geometry-optimized HfGeOsRu2 structure at the PBE level of DFT. Values from VASP.

Calculated values
Space-group type = P4/mmm (123)
ΔH_f (0 K) = 1.824 eV per atom

The structure in Quantum ESPRESSO input format:
```
&SYSTEM
  ibrav = 0, nat = 5, ntyp = 4
/
ATOMIC_SPECIES
Hf 178.49 Hf.upf
Ge 72.64 Ge.upf
Os 190.23 Os.upf
Ru 101.07 Ru.upf
CELL_PARAMETERS angstrom
4.751 0.000 0.000
0.000 4.891 0.000
0.000 0.000 4.751
ATOMIC_POSITIONS angstrom
Hf 0.000 0.000 0.000
Ge 2.376 2.446 2.376
Os 0.000 2.446 0.000
Ru 0.000 0.000 2.376
Ru 2.376 0.000 0.000
```

Record 4
Computed, not measured: a geometry-optimized NdAgHgPb structure at the PBE level of DFT. Values from VASP.

Calculated values
Space-group type = I-4m2 (119)
ΔH_f (0 K) = -0.324 eV per atom
Energy above the lowest structure with this stoichiometry = 0.000 eV per atom

The structure in Quantum ESPRESSO input format:
```
&SYSTEM
  ibrav = 0, nat = 4, ntyp = 4
/
ATOMIC_SPECIES
Nd 144.24 Nd.upf
Ag 107.87 Ag.upf
Hg 200.59 Hg.upf
Pb 207.20 Pb.upf
CELL_PARAMETERS angstrom
-1.920 -2.447 3.626
3.654 1.280 2.799
-3.129 4.251 -1.936
ATOMIC_POSITIONS angstrom
Nd 0.696 2.473 2.037
Ag 0.000 0.000 0.000
Hg -2.262 3.667 1.276
Pb -2.092 0.610 2.451
```

Record 5
Computed, not measured: a geometry-optimized MgScHIr2 structure at the PBE level of DFT. Values from VASP.

Calculated values
Space-group type = P4/mmm (123)
Energy above the lowest structure with this stoichiometry = 0.019 eV per atom

The structure in Quantum ESPRESSO input format:
```
&SYSTEM
  ibrav = 0, nat = 5, ntyp = 4
/
ATOMIC_SPECIES
Sc 44.96 Sc.upf
H 1.01 H.upf
Mg 24.30 Mg.upf
Ir 192.22 Ir.upf
CELL_PARAMETERS angstrom
-1.759 -3.790 0.217
3.349 -1.662 -1.877
1.624 -0.560 3.394
ATOMIC_POSITIONS angstrom
Sc 1.607 -3.006 0.867
H 0.000 0.000 0.000
Mg 0.812 -0.280 1.697
Ir 1.675 -0.831 -0.938
Ir -0.879 -1.895 0.108
```

Record 6
Computed, not measured: a geometry-optimized Be3OsN structure at the PBE level of DFT. Values from VASP.

Calculated values
Space-group type = Pm-3m (221)
Energy above the lowest structure with this stoichiometry = 0.000 eV per atom
ΔE_f (raw) = 13.0 kJ/mol of atoms

The structure in Quantum ESPRESSO input format:
```
&SYSTEM
  ibrav = 0, nat = 5, ntyp = 3
/
ATOMIC_SPECIES
Be 9.01 Be.upf
Os 190.23 Os.upf
N 14.01 N.upf
CELL_PARAMETERS angstrom
3.540 0.000 0.000
0.000 3.540 0.000
0.000 0.000 3.540
ATOMIC_POSITIONS angstrom
Be 0.000 1.770 0.000
Be 0.000 0.000 1.770
Be 1.770 0.000 0.000
Os 1.770 1.770 1.770
N 0.000 0.000 0.000
```

Number 1: raw total energy -3.179 eV per atom. Number 2: raw total energy -7.607 eV per atom. Number 3: raw total energy -7.046 eV per atom. Number 4: raw total energy -3.232 eV per atom. Number 5: raw total energy -6.263 eV per atom. Number 6: raw total energy -6.012 eV per atom.